1.
## YIrN2F (PBE-GGA)

Data for YIrN2F after structural relaxation.

Output
The value obtained for the formation energy from raw total energies is -0.43 eV per atom.

abc: 3.7490 3.7490 5.7045
angles: 90.00 90.00 90.00
Sites, in units of the cell vectors:
Y  0.0000  0.0000  0.0000
Ir  0.0000  0.0000  0.5000
N  0.0000  0.5000  0.5000
N  0.5000  0.0000  0.5000
F  0.5000  0.5000  0.0000

2.
## VSbIrI2 (PBE-GGA)

Data for VSbIrI2 after structural relaxation.

Output
The value obtained for the formation energy from raw total energies is 0.87 eV per atom.

abc: 5.6254 5.6254 4.9517
angles: 90.00 90.00 90.00
Sites, in units of the cell vectors:
V  0.0000  0.0000  0.0000
Sb  0.5000  0.5000  0.0000
Ir  0.5000  0.5000  0.5000
I  0.0000  0.5000  0.5000
I  0.5000  0.0000  0.5000

3.
## Sm2TlCd3 (PBE-GGA)

Data for Sm2TlCd3 after structural relaxation.

Output
The formation energy is -0.33 eV/atom.

abc: 10.0543 9.4102 6.1684
angles: 77.31 65.93 36.76
Sites, in units of the cell vectors:
Sm  0.2494  0.7506  0.7506
Sm  0.2500  0.2500  0.2500
Sm  0.7500  0.7500  0.7500
Sm  0.7506  0.2494  0.2494
Tl  0.3335  0.3335  0.6665
Tl  0.6665  0.6665  0.3335
Cd  0.1645  0.1645  0.8355
Cd  0.1648  0.6710  0.3290
Cd  0.3290  0.8352  0.1648
Cd  0.6710  0.1648  0.8352
Cd  0.8352  0.3290  0.6710
Cd  0.8355  0.8355  0.1645

4.
## K2SeCl (PBE-GGA)

Data for K2SeCl after structural relaxation.

Output
The value obtained for the formation energy from raw total energies is -1.22 eV per atom.

abc: 8.8874 8.8874 8.8874
angles: 28.16 28.16 28.16
Sites, in units of the cell vectors:
K  0.0000  0.0000  0.0000
K  0.1823  0.1823  0.1823
Se  0.4237  0.4237  0.4237
Cl  0.5917  0.5917  0.5917

5.
## HfPaTcPd (PBE-GGA)

Data for HfPaTcPd after structural relaxation.

Output
The formation energy is -0.35 eV/atom.

abc: 4.7934 4.7934 4.7934
angles: 60.00 60.00 60.00
Sites, in units of the cell vectors:
Hf  0.0000  0.0000  0.0000
Pa  0.5000  0.5000  0.5000
Tc  0.7500  0.7500  0.7500
Pd  0.2500  0.2500  0.2500

6.
## CsBi3B (PBE-GGA)

Data for CsBi3B after structural relaxation.

Output
The formation energy is 2.29 eV/atom.

abc: 6.3572 6.3572 6.3572
angles: 90.00 90.00 90.00
Sites, in units of the cell vectors:
Cs  0.0000  0.0000  0.0000
Bi  0.0000  0.0000  0.5000
Bi  0.0000  0.5000  0.0000
Bi  0.5000  0.0000  0.0000
B  0.5000  0.5000  0.5000

In order of appearance, energy = -36.01; -20.85; -33.02; -12.40; -36.42; -7.74 eV/cell.